First-principles (PBE) data for crystalline TaTi4Nb at its relaxed geometry, as listed in Alexandria via LeMat-Bulk.

```
data_TaTi4Nb
_cell_length_a 4.723
_cell_length_b 7.364
_cell_length_c 9.280
_cell_angle_alpha 129.50
_cell_angle_beta 122.37
_cell_angle_gamma 68.15
_space_group_name_H-M_alt 'P 1'
_space_group_IT_number 1
loop_
_space_group_symop_operation_xyz
'x,y,z'
loop_
_atom_site_label
_atom_site_fract_x
_atom_site_fract_y
_atom_site_fract_z
Ta1 0.288 0.074 0.363
Ta2 0.712 0.926 0.637
Ti1 0.959 0.246 0.613
Ti2 0.678 0.425 0.373
Ti3 0.030 0.250 0.121
Ti4 0.373 0.081 0.873
Ti5 0.041 0.754 0.387
Ti6 0.322 0.575 0.627
Ti7 0.970 0.750 0.879
Ti8 0.627 0.919 0.127
Nb1 0.663 0.417 0.876
Nb2 0.337 0.583 0.124
```

DOS(E_F) = 1.57 states/eV/atom
energy above the lowest structure with this stoichiometry = 0.000 eV/atom
magnetization = 0.00 μB/f.u.
energy relative to the elements = 0.32 eV per formula unit
DFT total energy = -53.2 eV per formula unit

=====

First-principles (PBE) data for crystalline AlFeBr3 at its relaxed geometry, as listed in Alexandria via LeMat-Bulk.

```
data_AlFeBr3
_cell_length_a 5.185
_cell_length_b 5.185
_cell_length_c 5.185
_cell_angle_alpha 90.00
_cell_angle_beta 90.00
_cell_angle_gamma 90.00
_space_group_name_H-M_alt 'P 1'
_space_group_IT_number 1
loop_
_space_group_symop_operation_xyz
'x,y,z'
loop_
_atom_site_label
_atom_site_fract_x
_atom_site_fract_y
_atom_site_fract_z
Al1 0.000 0.000 0.000
Fe1 0.500 0.500 0.500
Br1 0.000 0.500 0.000
Br2 0.000 0.000 0.500
Br3 0.500 0.000 0.000
```

DOS(E_F) = 1.70 states/eV/atom
energy above the lowest structure with this stoichiometry = 0.303 eV/atom
uncorrected formation energy = 0.161 eV/atom
magnetization = 4.27 μB/f.u.
DFT total energy = -16.4 eV per formula unit

=====

First-principles (PBE) data for crystalline AlRe2Mo at its relaxed geometry, as listed in Alexandria via LeMat-Bulk.

```
data_AlRe2Mo
_cell_length_a 2.852
_cell_length_b 2.852
_cell_length_c 7.389
_cell_angle_alpha 90.00
_cell_angle_beta 90.00
_cell_angle_gamma 90.00
_space_group_name_H-M_alt 'P 1'
_space_group_IT_number 1
loop_
_space_group_symop_operation_xyz
'x,y,z'
loop_
_atom_site_label
_atom_site_fract_x
_atom_site_fract_y
_atom_site_fract_z
Re1 0.000 0.000 0.013
Re2 0.500 0.500 0.251
Mo1 0.500 0.500 0.746
Al1 0.000 0.000 0.491
```

DOS(E_F) = 0.32 states/eV/atom
magnetization = 0.00 μB/f.u.
energy relative to the elements = -0.31 eV per formula unit
DFT total energy = -39.8 eV per formula unit

=====

First-principles (PBE) data for crystalline BeIr2Pb at its relaxed geometry, as listed in Alexandria via LeMat-Bulk.

```
data_BeIr2Pb
_cell_length_a 3.952
_cell_length_b 3.952
_cell_length_c 6.226
_cell_angle_alpha 82.31
_cell_angle_beta 82.31
_cell_angle_gamma 43.93
_space_group_name_H-M_alt 'P 1'
_space_group_IT_number 1
loop_
_space_group_symop_operation_xyz
'x,y,z'
loop_
_atom_site_label
_atom_site_fract_x
_atom_site_fract_y
_atom_site_fract_z
Pb1 0.250 0.250 0.250
Be1 0.750 0.750 0.750
Ir1 0.033 0.033 0.915
Ir2 0.467 0.467 0.585
```

DOS(E_F) = 0.41 states/eV/atom
energy above the lowest structure with this stoichiometry = 0.061 eV/atom
magnetization = 0.00 μB/f.u.
energy relative to the elements = 0.72 eV per formula unit
DFT total energy = -24.4 eV per formula unit

=====

First-principles (PBE) data for crystalline Ba2ZrMo at its relaxed geometry, as listed in Alexandria via LeMat-Bulk.

```
data_Ba2ZrMo
_cell_length_a 3.203
_cell_length_b 3.203
_cell_length_c 11.518
_cell_angle_alpha 90.00
_cell_angle_beta 90.00
_cell_angle_gamma 90.00
_space_group_name_H-M_alt 'P 1'
_space_group_IT_number 1
loop_
_space_group_symop_operation_xyz
'x,y,z'
loop_
_atom_site_label
_atom_site_fract_x
_atom_site_fract_y
_atom_site_fract_z
Ba1 0.000 0.000 0.022
Ba2 0.000 0.000 0.478
Mo1 0.500 0.500 0.250
Zr1 0.500 0.500 0.750
```

DOS(E_F) = 1.27 states/eV/atom
energy above the lowest structure with this stoichiometry = 0.669 eV/atom
magnetization = 0.45 μB/f.u.
energy relative to the elements = 4.69 eV per formula unit
DFT total energy = -18.5 eV per formula unit

=====

First-principles (PBE) data for crystalline GdHoTmZr at its relaxed geometry, as listed in Alexandria via LeMat-Bulk.

```
data_GdHoTmZr
_cell_length_a 5.460
_cell_length_b 5.460
_cell_length_c 5.460
_cell_angle_alpha 60.00
_cell_angle_beta 60.00
_cell_angle_gamma 60.00
_space_group_name_H-M_alt 'P 1'
_space_group_IT_number 1
loop_
_space_group_symop_operation_xyz
'x,y,z'
loop_
_atom_site_label
_atom_site_fract_x
_atom_site_fract_y
_atom_site_fract_z
Gd1 0.750 0.750 0.750
Tm1 0.500 0.500 0.500
Ho1 0.000 0.000 0.000
Zr1 0.250 0.250 0.250
```

DOS(E_F) = 2.30 states/eV/atom
magnetization = 5.29 μB/f.u.
energy relative to the elements = 0.81 eV per formula unit
DFT total energy = -30.9 eV per formula unit

=====

First-principles (PBE) data for crystalline KNaHf2 at its relaxed geometry, as listed in Alexandria via LeMat-Bulk.

```
data_KNaHf2
_cell_length_a 9.111
_cell_length_b 9.111
_cell_length_c 7.039
_cell_angle_alpha 49.67
_cell_angle_beta 49.67
_cell_angle_gamma 90.00
_space_group_name_H-M_alt 'P 1'
_space_group_IT_number 1
loop_
_space_group_symop_operation_xyz
'x,y,z'
loop_
_atom_site_label
_atom_site_fract_x
_atom_site_fract_y
_atom_site_fract_z
Na1 0.500 0.500 0.000
Na2 0.250 0.750 0.500
K1 0.000 0.000 0.000
K2 0.750 0.250 0.500
Hf1 0.614 0.125 0.250
Hf2 0.136 0.625 0.250
Hf3 0.375 0.386 0.750
Hf4 0.875 0.864 0.750
```

DOS(E_F) = 0.93 states/eV/atom
energy above the lowest structure with this stoichiometry = 0.000 eV/atom
magnetization = 0.00 μB/f.u.
energy relative to the elements = 5.60 eV per formula unit
DFT total energy = -16.7 eV per formula unit

=====

First-principles (PBE) data for crystalline Nd3Dy4Y3 at its relaxed geometry, as listed in Alexandria via LeMat-Bulk.

```
data_Nd3Dy4Y3
_cell_length_a 3.712
_cell_length_b 9.474
_cell_length_c 9.474
_cell_angle_alpha 90.33
_cell_angle_beta 90.00
_cell_angle_gamma 90.00
_space_group_name_H-M_alt 'P 1'
_space_group_IT_number 1
loop_
_space_group_symop_operation_xyz
'x,y,z'
loop_
_atom_site_label
_atom_site_fract_x
_atom_site_fract_y
_atom_site_fract_z
Nd1 0.500 0.827 0.173
Nd2 0.500 0.326 0.327
Nd3 0.500 0.673 0.674
Dy1 0.000 0.626 0.374
Dy2 0.000 0.374 0.626
Dy3 0.000 0.876 0.873
Dy4 0.000 0.127 0.124
Y1 0.000 0.495 0.998
Y2 0.000 0.002 0.505
Y3 0.500 0.174 0.826
```

DOS(E_F) = 0.81 states/eV/atom
magnetization = 0.00 μB/f.u.
energy relative to the elements = 0.84 eV per formula unit
DFT total energy = -51.3 eV per formula unit

=====

First-principles (PBE) data for crystalline HoScBeAg at its relaxed geometry, as listed in Alexandria via LeMat-Bulk.

```
data_HoScBeAg
_cell_length_a 4.857
_cell_length_b 4.857
_cell_length_c 4.857
_cell_angle_alpha 60.00
_cell_angle_beta 60.00
_cell_angle_gamma 60.00
_space_group_name_H-M_alt 'P 1'
_space_group_IT_number 1
loop_
_space_group_symop_operation_xyz
'x,y,z'
loop_
_atom_site_label
_atom_site_fract_x
_atom_site_fract_y
_atom_site_fract_z
Sc1 0.000 0.000 0.000
Be1 0.750 0.750 0.750
Ho1 0.500 0.500 0.500
Ag1 0.250 0.250 0.250
```

DOS(E_F) = 1.18 states/eV/atom
magnetization = 0.00 μB/f.u.
energy relative to the elements = -0.25 eV per formula unit
DFT total energy = -17.7 eV per formula unit

=====

First-principles (PBE) data for crystalline BaCl at its relaxed geometry, as listed in Alexandria via LeMat-Bulk.

```
data_BaCl
_cell_length_a 12.036
_cell_length_b 12.036
_cell_length_c 4.367
_cell_angle_alpha 90.00
_cell_angle_beta 90.00
_cell_angle_gamma 90.00
_space_group_name_H-M_alt 'P 1'
_space_group_IT_number 1
loop_
_space_group_symop_operation_xyz
'x,y,z'
loop_
_atom_site_label
_atom_site_fract_x
_atom_site_fract_y
_atom_site_fract_z
Ba1 0.280 0.065 0.000
Ba2 0.720 0.935 0.000
Ba3 0.935 0.280 0.000
Ba4 0.065 0.720 0.000
Ba5 0.780 0.565 0.500
Ba6 0.220 0.435 0.500
Ba7 0.435 0.780 0.500
Ba8 0.565 0.220 0.500
Cl1 0.383 0.308 0.000
Cl2 0.617 0.692 0.000
Cl3 0.692 0.383 0.000
Cl4 0.308 0.617 0.000
Cl5 0.883 0.808 0.500
Cl6 0.117 0.192 0.500
Cl7 0.192 0.883 0.500
Cl8 0.808 0.117 0.500
```

DOS(E_F) = 0.75 states/eV/atom
uncorrected formation energy = -1.767 eV/atom
magnetization = 0.50 μB/f.u.
DFT total energy = -7.3 eV per formula unit

=====

First-principles (PBE) data for crystalline Cd3BMo at its relaxed geometry, as listed in Alexandria via LeMat-Bulk.

```
data_Cd3BMo
_cell_length_a 5.381
_cell_length_b 5.381
_cell_length_c 5.381
_cell_angle_alpha 90.00
_cell_angle_beta 90.00
_cell_angle_gamma 90.00
_space_group_name_H-M_alt 'P 1'
_space_group_IT_number 1
loop_
_space_group_symop_operation_xyz
'x,y,z'
loop_
_atom_site_label
_atom_site_fract_x
_atom_site_fract_y
_atom_site_fract_z
Mo1 0.000 0.000 0.000
B1 0.500 0.500 0.500
Cd1 0.000 0.500 0.000
Cd2 0.000 0.000 0.500
Cd3 0.500 0.000 0.000
```

DOS(E_F) = 1.23 states/eV/atom
energy above the lowest structure with this stoichiometry = 0.843 eV/atom
magnetization = 2.22 μB/f.u.
energy relative to the elements = 9.62 eV per formula unit
DFT total energy = -10.6 eV per formula unit

=====

First-principles (PBE) data for crystalline Ac2MgGe2 at its relaxed geometry, as listed in Alexandria via LeMat-Bulk.

```
data_Ac2MgGe2
_cell_length_a 7.838
_cell_length_b 7.838
_cell_length_c 9.384
_cell_angle_alpha 90.00
_cell_angle_beta 90.00
_cell_angle_gamma 90.00
_space_group_name_H-M_alt 'P 1'
_space_group_IT_number 1
loop_
_space_group_symop_operation_xyz
'x,y,z'
loop_
_atom_site_label
_atom_site_fract_x
_atom_site_fract_y
_atom_site_fract_z
Ac1 0.679 0.821 0.500
Ac2 0.321 0.179 0.500
Ac3 0.821 0.321 0.000
Ac4 0.179 0.679 0.000
Ac5 0.821 0.321 0.500
Ac6 0.179 0.679 0.500
Ac7 0.321 0.179 0.000
Ac8 0.679 0.821 0.000
Mg1 0.500 0.500 0.250
Mg2 0.000 0.000 0.750
Mg3 0.500 0.500 0.750
Mg4 0.000 0.000 0.250
Ge1 0.382 0.882 0.250
Ge2 0.618 0.118 0.250
Ge3 0.118 0.382 0.750
Ge4 0.882 0.618 0.750
Ge5 0.882 0.618 0.250
Ge6 0.118 0.382 0.250
Ge7 0.382 0.882 0.750
Ge8 0.618 0.118 0.750
```

DOS(E_F) = 0.32 states/eV/atom
energy above the lowest structure with this stoichiometry = 0.000 eV/atom
magnetization = 0.00 μB/f.u.
energy relative to the elements = -3.31 eV per formula unit
DFT total energy = -22.4 eV per formula unit

=====

> The highest DFT total energy belongs to which entry?

BaCl

=====

> DOS(E_F) of number 9 (HoScBeAg)?

1.18 states/eV/atom